No. 1
VASP calculation (PBE) on an optimized crystal structure of Sm5Ni2Hg. Values from VASP.

Values from the calculation:
DFT total energy	-4.7369	eV per atom
V	25.77	Å³/atom
SG	I4/mcm (140)
energy of formation	-0.304	eV per atom

```
&SYSTEM
  ibrav = 0, nat = 16, ntyp = 3
/
ATOMIC_SPECIES
Sm 150.36 Sm.upf
Ni 58.69 Ni.upf
Hg 200.59 Hg.upf
ATOMIC_POSITIONS angstrom
Sm -5.3958 -1.6593 0.4002
Sm -3.8999 3.3889 -2.3095
Sm -3.1649 -3.6190 2.9814
Sm -3.6561 -7.5967 1.7697
Sm 0.0000 0.0000 0.0000
Sm -2.6515 -6.5262 -2.1516
Ni -1.5074 -8.3449 -0.2207
Hg -4.3596 -4.8025 0.1168
Sm -2.1603 -2.5485 -0.9399
Ni -1.9248 -6.2870 3.6756
Hg -3.1965 0.5948 -0.6565
Sm -1.1631 -5.3973 0.7733
Sm -4.3912 -0.5888 -3.5211
Sm -4.9045 2.3184 1.6118
Ni -0.4014 -4.5075 -2.1289
Ni -0.8188 -2.4497 1.7674
CELL_PARAMETERS angstrom
-0.2334 -6.3728 -4.6364
-2.0927 -4.4218 6.1831
-5.2298 6.5868 -2.0864
```

No. 2
VASP calculation (PBE) on an optimized crystal structure of ScTi. Values from VASP.

Values from the calculation:
DFT total energy	-6.9776	eV per atom
ΔE to the lowest computed polymorph	0.10	eV/f.u.
V	20.38	Å³/atom
SG	Pmmn (59)
energy of formation	0.136	eV per atom

```
&SYSTEM
  ibrav = 0, nat = 12, ntyp = 2
/
ATOMIC_SPECIES
Ti 47.87 Ti.upf
Sc 44.96 Sc.upf
ATOMIC_POSITIONS angstrom
Ti 0.0000 4.9597 2.4610
Sc 1.5354 4.1207 7.3780
Ti 1.5354 4.0947 0.0000
Sc 1.5354 2.2696 2.4383
Sc 0.0000 3.1277 9.8163
Sc 0.0000 1.2766 0.0000
Ti 0.0000 4.9597 12.2950
Sc 1.5354 2.2696 12.3177
Ti 0.0000 1.3026 7.3780
Ti 1.5354 0.4376 4.9170
Sc 0.0000 3.1277 4.9397
Ti 1.5354 0.4376 9.8390
CELL_PARAMETERS angstrom
3.0708 0.0000 0.0000
0.0000 5.3973 0.0000
0.0000 0.0000 14.7560
```